1.
A geometry-optimized LaAlHg3 structure, computed with GGA-PBE. Values from VASP.

Cell and atoms, written as Quantum ESPRESSO input:
```
&SYSTEM
  ibrav = 0, nat = 10, ntyp = 3
/
ATOMIC_SPECIES
La 138.91 La.upf
Al 26.98 Al.upf
Hg 200.59 Hg.upf
ATOMIC_POSITIONS crystal
La 0.0000 0.0000 0.0000
La 0.5000 0.5000 0.0000
Al 0.3807 0.0000 0.7594
Al 0.8807 0.5000 0.7594
Hg 0.0143 0.2488 0.5275
Hg 0.0143 0.7512 0.5275
Hg 0.1056 0.5000 0.2106
Hg 0.5143 0.2512 0.5275
Hg 0.5143 0.7488 0.5275
Hg 0.6056 0.0000 0.2106
CELL_PARAMETERS angstrom
6.6364 0.0000 0.0000
0.0000 6.6392 0.0000
-3.2796 0.0000 5.6201
```

=====

2.
A geometry-optimized PbW3 structure, computed with GGA-PBE. Values from VASP.

Cell and atoms, written as Quantum ESPRESSO input:
```
&SYSTEM
  ibrav = 0, nat = 8, ntyp = 2
/
ATOMIC_SPECIES
Pb 207.20 Pb.upf
W 183.84 W.upf
ATOMIC_POSITIONS crystal
Pb 0.0000 0.0000 0.0000
Pb 0.5000 0.5000 0.5000
W 0.0000 0.0000 0.5000
W 0.0000 0.5000 0.2500
W 0.0000 0.5000 0.7500
W 0.5000 0.0000 0.2500
W 0.5000 0.0000 0.7500
W 0.5000 0.5000 0.0000
CELL_PARAMETERS angstrom
4.0964 0.0000 0.0000
0.0000 4.0964 0.0000
0.0000 0.0000 8.4343
```

=====

Calculated volume, record by record: 24.762; 17.691 Å³ per atom
Energy, record by record: -2.23; -9.74 eV per atom
Excess energy over the best structure of this formula in the dataset, record by record: 0.000; 0.216 eV/atom